1.
GGA-PBEsol La2CrSi, relaxed; SG = No. 160
1.0
-0.721 -3.877 -2.006
3.157 -1.810 -2.515
2.819 -4.566 2.934
Cr La Si
1 2 1
direct
0.202 0.202 0.393 Cr
0.979 0.979 0.064 La
0.771 0.771 0.688 La
0.548 0.548 0.355 Si

2.
GGA-PBEsol LiTiI2, relaxed; SG = No. 225
1.0
-2.366 -4.461 -0.675
-0.126 -3.414 3.779
-4.377 -0.954 2.425
I Li Ti
2 1 1
direct
0.250 0.250 0.250 I
0.750 0.750 0.750 I
0.000 0.000 0.000 Li
0.500 0.500 0.500 Ti

3.
GGA-PBEsol Te4W3S2, relaxed; excess energy over the best structure of this formula in the dataset = 0 meV/atom; SG = No. 156
1.0
3.364 0.000 0.000
-1.682 2.913 0.000
0.000 0.000 21.452
Te W S
4 3 2
direct
0.000 0.000 0.574 Te
0.667 0.333 0.416 Te
0.667 0.333 0.241 Te
0.000 0.000 0.748 Te
0.000 0.000 0.970 W
0.000 0.000 0.328 W
0.667 0.333 0.661 W
0.667 0.333 0.039 S
0.667 0.333 0.900 S

| no. | formation energy without anion corrections (eV/atom) |
| --- | --- |
| 1 | -0.104 |
| 2 | -0.263 |
| 3 | -0.280 |